Entry 1:
Below is a relaxed SrTmTlCd crystal, with properties calculated at the PBE level.

Output
* magnetization: 0.00 μB/cell
* E_form: -0.294 eV/atom
* mass density: 8.1 g/cm3
* space group: No. 216

Cell: 5.501 5.501 5.501 Å, 60.00 60.00 60.00°
Fractional positions:
Tm1 0.750 0.750 0.750
Sr1 0.250 0.250 0.250
Tl1 0.500 0.500 0.500
Cd1 0.000 0.000 0.000



Entry 2:
Below is a relaxed SrYTl2Cd crystal, with properties calculated at the PBE level.

Output
* magnetization: 1.62 μB/cell
* E_form: 0.526 eV/atom
* mass density: 5.0 g/cm3
* space group: No. 123

Cell: 5.883 6.743 5.883 Å, 90.00 90.00 90.00°
Each line ends with the local moment (μB).
Fractional positions:
Tl1 0.000 0.000 0.500  0.10
Tl2 0.500 0.000 0.000  0.14
Y1 0.000 0.000 0.000  0.47
Cd1 0.500 0.500 0.500  0.02
Sr1 0.000 0.500 0.000  0.06



Entry 3:
Below is a relaxed Sr2Tl6ZnCd crystal, with properties calculated at the PBE level.

Output
* magnetization: 0.00 μB/cell
* E_form: -0.082 eV/atom
* mass density: 8.2 g/cm3
* space group: No. 166

Cell: 7.627 7.627 13.428 Å, 73.50 73.50 60.00°
Fractional positions:
Tl1 0.335 0.781 0.102
Tl2 0.662 0.080 0.597
Tl3 0.219 0.665 0.898
Tl4 0.920 0.338 0.403
Tl5 0.665 0.219 0.898
Tl6 0.080 0.662 0.597
Tl7 0.781 0.781 0.102
Tl8 0.219 0.219 0.898
Tl9 0.781 0.335 0.102
Tl10 0.338 0.338 0.403
Tl11 0.662 0.662 0.597
Tl12 0.338 0.920 0.403
Sr1 0.109 0.109 0.673
Sr2 0.891 0.891 0.327
Sr3 0.718 0.718 0.847
Sr4 0.282 0.282 0.153
Zn1 0.500 0.500 0.500
Zn2 0.000 0.000 0.000
Cd1 0.427 0.427 0.720
Cd2 0.573 0.573 0.280



Entry 4:
Below is a relaxed SrTlZnCd crystal, with properties calculated at the PBE level.

Output
* magnetization: 0.00 μB/cell
* E_form: -0.164 eV/atom
* mass density: 7.4 g/cm3
* space group: No. 216

Cell: 5.314 5.314 5.314 Å, 60.00 60.00 60.00°
Fractional positions:
Tl1 0.500 0.500 0.500
Sr1 0.000 0.000 0.000
Cd1 0.750 0.750 0.750
Zn1 0.250 0.250 0.250



Entry 5:
Below is a relaxed Sr2TlZnCd6 crystal, with properties calculated at the PBE level.

Output
* magnetization: 0.00 μB/cell
* E_form: -0.125 eV/atom
* mass density: 6.5 g/cm3
* space group: No. 166

Cell: 7.195 7.195 13.390 Å, 74.41 74.41 60.00°
Fractional positions:
Cd1 0.636 0.221 0.922
Cd2 0.221 0.636 0.922
Cd3 0.925 0.327 0.422
Cd4 0.779 0.364 0.078
Cd5 0.221 0.221 0.922
Cd6 0.673 0.673 0.578
Cd7 0.075 0.673 0.578
Cd8 0.673 0.075 0.578
Cd9 0.364 0.779 0.078
Cd10 0.327 0.925 0.422
Cd11 0.327 0.327 0.422
Cd12 0.779 0.779 0.078
Zn1 0.000 0.000 0.000
Zn2 0.500 0.500 0.500
Sr1 0.103 0.103 0.690
Sr2 0.277 0.277 0.169
Sr3 0.897 0.897 0.310
Sr4 0.723 0.723 0.831
Tl1 0.425 0.425 0.726
Tl2 0.575 0.575 0.274



Entry 6:
Below is a relaxed Sr2TlZn3Cd4 crystal, with properties calculated at the PBE level.

Output
* magnetization: 0.00 μB/cell
* E_form: -0.204 eV/atom
* mass density: 6.7 g/cm3
* space group: No. 115

Cell: 4.572 4.572 12.138 Å, 90.00 90.00 90.00°
Fractional positions:
Cd1 0.000 0.000 0.000
Cd2 0.500 0.500 0.000
Cd3 0.500 0.000 0.649
Cd4 0.000 0.500 0.351
Zn1 0.000 0.500 0.132
Zn2 0.500 0.000 0.868
Zn3 0.000 0.000 0.500
Tl1 0.500 0.500 0.500
Sr1 0.000 0.500 0.758
Sr2 0.500 0.000 0.242



Entry 7:
Below is a relaxed Sr2ZrTlCd crystal, with properties calculated at the PBE level.

Output
* magnetization: 1.71 μB/cell
* E_form: 0.675 eV/atom
* mass density: 4.6 g/cm3
* space group: No. 123

Cell: 6.212 5.490 6.212 Å, 90.00 90.00 90.00°
Each line ends with the local moment (μB).
Fractional positions:
Sr1 0.500 0.000 0.000  0.06
Sr2 0.000 0.000 0.500  0.10
Cd1 0.000 0.500 0.000  0.04
Zr1 0.000 0.000 0.000  0.92
Tl1 0.500 0.500 0.500  -0.02



Entry 8:
Below is a relaxed SrTmCd6 crystal, with properties calculated at the PBE level.

Output
* magnetization: 0.00 μB/cell
* E_form: -0.227 eV/atom
* mass density: 7.9 g/cm3
* space group: No. 25

Cell: 5.157 5.155 7.355 Å, 90.00 90.00 90.00°
Fractional positions:
Cd1 0.000 0.748 0.500
Cd2 0.500 0.251 0.000
Cd3 0.000 0.248 0.736
Cd4 0.500 0.752 0.264
Cd5 0.000 0.248 0.264
Cd6 0.500 0.752 0.736
Sr1 0.000 0.749 0.000
Tm1 0.500 0.252 0.500